[1]
# LiYCd, relaxed, DFT PBE
# Excess energy over the best structure of this formula in the dataset in meV per atom: 179.5
# Crystal system: trigonal
# M_tot in μB/cell: 0.00
data_LiYCd
_chemical_formula_sum 'Li1 Y1 Cd1'
_space_group_name_H-M_alt 'P 3 m 1'
_space_group_IT_number 156
_space_group_name_Hall 'P 3 -2"'
_cell_length_a 3.4672
_cell_length_b 3.4672
_cell_length_c 7.3175
_cell_angle_alpha 90.00
_cell_angle_beta 90.00
_cell_angle_gamma 120.00
loop_
_atom_site_label
_atom_site_type_symbol
_atom_site_fract_x
_atom_site_fract_y
_atom_site_fract_z
Li1 Li 0.0000 0.0000 0.0000
Y1 Y 0.6667 0.3333 0.3693
Cd1 Cd 0.3333 0.6667 0.7180


[2]
# Pr3Si6Pd2Pt, relaxed, DFT PBE
# ΔE_f (raw) in meV/atom: -495
# Crystal system: trigonal
# M_tot in μB/cell: 0.00
data_Pr3Si6Pd2Pt
_chemical_formula_sum 'Pr3 Si6 Pd2 Pt1'
_space_group_name_H-M_alt 'P -3 m 1'
_space_group_IT_number 164
_space_group_name_Hall '-P 3 2"'
_cell_length_a 5.8345
_cell_length_b 5.8345
_cell_length_c 8.2072
_cell_angle_alpha 90.00
_cell_angle_beta 90.00
_cell_angle_gamma 120.00
loop_
_atom_site_label
_atom_site_type_symbol
_atom_site_fract_x
_atom_site_fract_y
_atom_site_fract_z
Pr1 Pr 0.0000 0.0000 0.0000
Pr2 Pr 0.3333 0.6667 0.6335
Si1 Si 0.1925 0.3851 0.2942
Pd1 Pd 0.3333 0.6667 0.0437
Pt1 Pt 0.0000 0.0000 0.5000


[3]
# PmAlZnO4, relaxed, DFT PBE
# ΔE_f (raw) in meV/atom: -2433
# Crystal system: orthorhombic
# M_tot in μB/cell: 0.00
data_PmAlZnO4
_chemical_formula_sum 'Pm4 Al4 Zn4 O16'
_space_group_name_H-M_alt 'I m m a'
_space_group_IT_number 74
_space_group_name_Hall '-I 2b 2'
_cell_length_a 6.1088
_cell_length_b 6.7783
_cell_length_c 8.8762
_cell_angle_alpha 90.00
_cell_angle_beta 90.00
_cell_angle_gamma 90.00
loop_
_atom_site_label
_atom_site_type_symbol
_atom_site_fract_x
_atom_site_fract_y
_atom_site_fract_z
Pm1 Pm 0.0000 0.0000 0.0000
Al1 Al 0.2500 0.2500 0.2500
Zn1 Zn 0.0000 0.2500 0.6061
O1 O 0.0000 0.0512 0.2582
O2 O 0.2489 0.2500 0.0292


It is found that the VASP energy values, taken in the order of the records, are -9.32; -69.24; -186.52 eV per cell.